[1]
The following is a DFT calculation (PBE-GGA) of an optimized crystal structure of CoNi5Pd4.

Lattice parameters (Å, degrees): 6.475 6.475 8.697 112.97 112.97 23.27
Element x y z (fractional)
Co (0.000, 0.000, 0.000)
Ni (0.000, 0.000, 0.500)
Ni (0.296, 0.296, 0.865)
Ni (0.319, 0.319, 0.407)
Ni (0.681, 0.681, 0.593)
Ni (0.704, 0.704, 0.135)
Pd (0.109, 0.109, 0.311)
Pd (0.399, 0.399, 0.182)
Pd (0.601, 0.601, 0.818)
Pd (0.891, 0.891, 0.689)

The value obtained for the energy of formation is 0.154 eV per atom. The value obtained for the spin magnetization is 6.71 μB/cell. The value obtained for the energy above the most stable polymorph in this dataset is 0 meV per atom. For the density, the calculation gives 9778 kg/m³. The space-group type is No. 12.



[2]
The following is a DFT calculation (PBE-GGA) of an optimized crystal structure of Tb3Y6Th.

Lattice parameters (Å, degrees): 9.996 6.355 11.908 90.00 119.08 90.00
Element x y z (fractional)
Tb (0.000, 0.000, 0.000)
Tb (0.000, 0.500, 0.500)
Tb (0.263, 0.222, 0.213)
Tb (0.263, 0.278, 0.713)
Tb (0.737, 0.722, 0.287)
Tb (0.737, 0.778, 0.787)
Y (0.077, 0.004, 0.373)
Y (0.077, 0.496, 0.873)
Y (0.313, 0.505, 0.459)
Y (0.313, 0.995, 0.959)
Y (0.374, 0.715, 0.215)
Y (0.374, 0.785, 0.715)
Y (0.626, 0.215, 0.285)
Y (0.626, 0.285, 0.785)
Y (0.687, 0.005, 0.041)
Y (0.687, 0.495, 0.541)
Y (0.923, 0.504, 0.127)
Y (0.923, 0.996, 0.627)
Th (0.500, 0.000, 0.500)
Th (0.500, 0.500, 0.000)

The value obtained for the energy of formation is 0.189 eV per atom. The value obtained for the spin magnetization is 0.00 μB/cell. The value obtained for the energy above the most stable polymorph in this dataset is 29 meV per atom. For the density, the calculation gives 6240 kg/m³. The space-group type is No. 14.



[3]
The following is a DFT calculation (PBE-GGA) of an optimized crystal structure of P3PbSe.

Lattice parameters (Å, degrees): 4.854 4.854 4.854 90.00 90.00 90.00
Element x y z (fractional)
P (0.000, 0.000, 0.500)
P (0.000, 0.500, 0.000)
P (0.500, 0.000, 0.000)
Pb (0.500, 0.500, 0.500)
Se (0.000, 0.000, 0.000)

For the energy relative to the elements, uncorrected, the calculation gives 833 meV/atom. The value obtained for the spin magnetization is 0.00 μB/cell. The value obtained for the energy above the most stable polymorph in this dataset is 708 meV per atom. For the density, the calculation gives 5505 kg/m³. The space-group type is No. 221.



[4]
The following is a DFT calculation (PBE-GGA) of an optimized crystal structure of La2NdDy6Tm3.

Lattice parameters (Å, degrees): 6.198 6.198 11.838 95.01 95.01 120.00
Element x y z (fractional)
La (0.166, 0.834, 0.000)
La (0.834, 0.166, 0.000)
Nd (0.500, 0.500, 0.000)
Dy (0.081, 0.413, 0.743)
Dy (0.254, 0.254, 0.257)
Dy (0.413, 0.081, 0.743)
Dy (0.587, 0.919, 0.257)
Dy (0.746, 0.746, 0.743)
Dy (0.919, 0.587, 0.257)
Tm (0.000, 0.000, 0.500)
Tm (0.333, 0.667, 0.500)
Tm (0.667, 0.333, 0.500)

The value obtained for the energy of formation is 0.026 eV per atom. The value obtained for the spin magnetization is 0.00 μB/cell. For the density, the calculation gives 8153 kg/m³. The space-group type is No. 12.



[5]
The following is a DFT calculation (PBE-GGA) of an optimized crystal structure of AcLaSnGe.

Lattice parameters (Å, degrees): 5.584 5.584 5.584 60.00 60.00 60.00
Element x y z (fractional)
Ac (0.000, 0.000, 0.000)
La (0.500, 0.500, 0.500)
Sn (0.750, 0.750, 0.750)
Ge (0.250, 0.250, 0.250)

The value obtained for the energy of formation is -0.552 eV per atom. The value obtained for the spin magnetization is 0.00 μB/cell. The value obtained for the energy above the most stable polymorph in this dataset is 190 meV per atom. For the density, the calculation gives 7515 kg/m³. The space-group type is No. 216.



[6]
The following is a DFT calculation (PBE-GGA) of an optimized crystal structure of DyEr7Ru2.

Lattice parameters (Å, degrees): 8.091 8.091 5.334 90.00 90.00 115.16
Element x y z (fractional)
Dy (0.000, 0.000, 0.000)
Er (0.058, 0.327, 0.500)
Er (0.294, 0.706, 0.000)
Er (0.327, 0.058, 0.500)
Er (0.500, 0.500, 0.500)
Er (0.673, 0.942, 0.500)
Er (0.706, 0.294, 0.000)
Er (0.942, 0.673, 0.500)
Ru (0.296, 0.704, 0.500)
Ru (0.704, 0.296, 0.500)

The value obtained for the energy of formation is -0.024 eV per atom. The value obtained for the spin magnetization is 0.00 μB/cell. For the density, the calculation gives 8068 kg/m³. The space-group type is No. 65.



[7]
The following is a DFT calculation (PBE-GGA) of an optimized crystal structure of BaTlZn.

Lattice parameters (Å, degrees): 9.306 9.306 4.533 103.94 103.94 31.76
Element x y z (fractional)
Ba (0.118, 0.118, 0.369)
Ba (0.882, 0.882, 0.631)
Tl (0.300, 0.300, 0.050)
Tl (0.700, 0.700, 0.950)
Zn (0.467, 0.467, 0.218)
Zn (0.533, 0.533, 0.782)

The value obtained for the energy of formation is -0.258 eV per atom. The value obtained for the spin magnetization is 0.00 μB/cell. The value obtained for the energy above the most stable polymorph in this dataset is 7 meV per atom. For the density, the calculation gives 6759 kg/m³. The space-group type is No. 12.



[8]
The following is a DFT calculation (PBE-GGA) of an optimized crystal structure of YMgCu2.

Lattice parameters (Å, degrees): 6.097 6.097 6.097 151.69 129.79 58.64
Element x y z (fractional)
Y (0.000, 0.000, 0.000)
Mg (0.500, 0.500, 0.000)
Cu (0.264, 0.264, 0.000)
Cu (0.736, 0.736, 0.000)

The value obtained for the energy of formation is 0.563 eV per atom. The value obtained for the spin magnetization is 0.00 μB/cell. For the density, the calculation gives 4865 kg/m³. The space-group type is No. 71.